# Nd2BeN (GGA-PBE, relaxed)
# DOS at the Fermi energy in states/eV per atom: 0.742
# Magnetic moment in μB/atom: 0.000
# ΔE_f (raw) in eV per atom: -0.007
data_Nd2BeN
_chemical_formula_sum 'Nd6 Be3 N3'
_cell_length_a 3.5652
_cell_length_b 3.5652
_cell_length_c 26.3868
_cell_angle_alpha 90.00
_cell_angle_beta 90.00
_cell_angle_gamma 120.00
_symmetry_space_group_name_H-M 'R -3 m'
_symmetry_Int_Tables_number 166
_symmetry_space_group_name_Hall '-R 3 2"'
loop_
_atom_site_label
_atom_site_type_symbol
_atom_site_fract_x
_atom_site_fract_y
_atom_site_fract_z
Nd1 Nd 0.0000 0.0000 0.1145
Be1 Be 0.0000 0.0000 0.0000
N1 N 0.0000 0.0000 0.5000

# NdBeN (GGA-PBE, relaxed)
# DOS at the Fermi energy in states/eV per atom: 0.309
# Magnetic moment in μB/atom: 0.000
# ΔE_f (raw) in eV per atom: -0.892
# Energy relative to the lowest polymorph listed for this composition in kJ per mole of atoms: 6.9
data_NdBeN
_chemical_formula_sum 'Nd4 Be4 N4'
_cell_length_a 5.255
_cell_length_b 5.162
_cell_length_c 6.988
_cell_angle_alpha 90.00
_cell_angle_beta 98.03
_cell_angle_gamma 90.00
_symmetry_space_group_name_H-M 'C 1 2/m 1'
_symmetry_Int_Tables_number 12
loop_
_symmetry_equiv_pos_as_xyz
'x,y,z'
'-x,-y,-z'
'-x,y,-z'
'x,-y,z'
'x+1/2,y+1/2,z'
'-x+1/2,-y+1/2,-z'
'-x+1/2,y+1/2,-z'
'x+1/2,-y+1/2,z'
loop_
_atom_site_label
_atom_site_type_symbol
_atom_site_fract_x
_atom_site_fract_y
_atom_site_fract_z
Nd1 Nd 0.210 0.000 0.316
Be1 Be 0.162 0.500 0.106
N1 N 0.219 0.500 0.332

# Nd2BeN2 (GGA-PBE, relaxed)
# DOS at the Fermi energy in states/eV per atom: 0.288
# Magnetic moment in μB/atom: 0.000
# ΔE_f (raw) in eV per atom: -0.895
data_Nd2BeN2
_chemical_formula_sum 'Nd8 Be4 N8'
_cell_length_a 3.272
_cell_length_b 14.139
_cell_length_c 6.478
_cell_angle_alpha 90.00
_cell_angle_beta 90.00
_cell_angle_gamma 90.00
_symmetry_space_group_name_H-M 'C m c 21'
_symmetry_Int_Tables_number 36
loop_
_symmetry_equiv_pos_as_xyz
'x,y,z'
'-x,-y,z+1/2'
'-x,y,z'
'x,-y,z+1/2'
'x+1/2,y+1/2,z'
'-x+1/2,-y+1/2,z+1/2'
'-x+1/2,y+1/2,z'
'x+1/2,-y+1/2,z+1/2'
loop_
_atom_site_label
_atom_site_type_symbol
_atom_site_fract_x
_atom_site_fract_y
_atom_site_fract_z
Nd1 Nd 0.000 0.039 0.000
Nd2 Nd 0.000 0.218 0.328
Be1 Be 0.000 0.384 0.090
N1 N 0.000 0.138 0.685
N2 N 0.000 0.427 0.846